Lu2PuCd | PBE | relaxed

## Properties
Energy relative to the lowest polymorph listed for this composition = 31 kJ/mol of formula units
Energy of formation from the pure elements = 13.3 meV per atom

a b c (Å): 5.3981 5.3981 3.5659
angles (deg): 90.00 90.00 90.00
Element x y z (fractional)
Lu  0.0000  0.5000  0.0000
Lu  0.5000  0.0000  0.0000
Pu  0.0000  0.0000  0.5000
Cd  0.5000  0.5000  0.5000